No. 1
Computed, not measured: an optimized crystal structure of Ru2RhSe at the PBE level of DFT.

Geometry as POSCAR:
```
Ru2RhSe
1.0
4.609 0.000 0.000
0.000 2.863 0.000
-1.394 0.000 4.461
Ru Rh Se
2 1 1
direct
0.000 0.000 0.000
0.000 0.500 0.500
0.500 0.000 0.500
0.500 0.500 0.000
```

Summary:
- Final energy: -0.5162 Ry/atom
- V: 58.9 Å³/cell
- Space group: No. 10
- E_form (uncorrected): 0.32 eV per atom
- Fermi-level density of states: 4.92 states/eV/cell
- Mass density: 10.833 g cm⁻³

=====

No. 2
Computed, not measured: an optimized crystal structure of RuRh3Se at the PBE level of DFT.

Geometry as POSCAR:
```
RuRh3Se
1.0
4.531 0.000 0.000
0.000 4.531 0.000
0.000 0.000 4.531
Ru Rh Se
1 3 1
direct
0.000 0.000 0.000
0.000 0.500 0.500
0.500 0.000 0.500
0.500 0.500 0.000
0.500 0.500 0.500
```

Summary:
- Final energy: -0.4394 Ry/atom
- Offset from the most stable computed form: 0.0 meV/atom
- V: 93.0 Å³/cell
- Space group: No. 221
- E_form (uncorrected): 0.98 eV per atom
- Fermi-level density of states: 8.50 states/eV/cell
- Mass density: 8.725 g cm⁻³

=====

No. 3
Computed, not measured: an optimized crystal structure of RuRh2Se at the PBE level of DFT.

Geometry as POSCAR:
```
RuRh2Se
1.0
3.958 0.000 0.000
0.000 2.907 0.000
0.000 0.000 10.351
Ru Rh Se
2 4 2
direct
0.000 0.000 0.000
0.000 0.500 0.500
0.000 0.000 0.741
0.000 0.500 0.241
0.500 0.000 0.384
0.500 0.500 0.884
0.500 0.000 0.144
0.500 0.500 0.644
```

Summary:
- Final energy: -0.4926 Ry/atom
- V: 119.1 Å³/cell
- Space group: No. 38
- E_form (uncorrected): 0.16 eV per atom
- Fermi-level density of states: 13.17 states/eV/cell
- Mass density: 10.759 g cm⁻³

=====

No. 4
Computed, not measured: an optimized crystal structure of RuRhSe2 at the PBE level of DFT.

Geometry as POSCAR:
```
RuRhSe2
1.0
3.251 0.000 0.000
-1.626 2.815 0.000
0.000 0.000 25.929
Ru Rh Se
3 3 6
direct
0.000 0.000 0.000
0.333 0.667 0.667
0.667 0.333 0.333
0.000 0.000 0.758
0.333 0.667 0.425
0.667 0.333 0.091
0.000 0.000 0.276
0.000 0.000 0.481
0.333 0.667 0.147
0.333 0.667 0.943
0.667 0.333 0.610
0.667 0.333 0.814
```

Summary:
- Final energy: -0.4352 Ry/atom
- Offset from the most stable computed form: 99.7 meV/atom
- V: 237.3 Å³/cell
- Space group: No. 160
- E_form (uncorrected): -0.02 eV per atom
- Fermi-level density of states: 5.69 states/eV/cell
- Mass density: 7.596 g cm⁻³

=====

No. 5
Computed, not measured: an optimized crystal structure of RuRh2Se at the PBE level of DFT.

Geometry as POSCAR:
```
RuRh2Se
1.0
2.842 0.000 0.000
0.000 2.842 0.000
0.000 0.000 7.402
Ru Rh Se
1 2 1
direct
0.000 0.000 0.000
0.500 0.500 0.244
0.500 0.500 0.756
0.000 0.000 0.500
```

Summary:
- Final energy: -0.4916 Ry/atom
- V: 59.8 Å³/cell
- Space group: No. 123
- E_form (uncorrected): 0.18 eV per atom
- Fermi-level density of states: 5.32 states/eV/cell
- Mass density: 10.718 g cm⁻³

=====

No. 6
Computed, not measured: an optimized crystal structure of Ru2RhSe at the PBE level of DFT.

Geometry as POSCAR:
```
Ru2RhSe
1.0
2.811 0.000 0.000
0.000 4.767 0.000
0.000 0.000 9.093
Ru Rh Se
4 2 2
direct
0.000 0.000 0.000
0.000 0.500 0.243
0.500 0.000 0.243
0.500 0.500 0.000
0.000 0.000 0.494
0.500 0.500 0.494
0.000 0.500 0.750
0.500 0.000 0.750
```

Summary:
- Final energy: -0.5010 Ry/atom
- V: 121.9 Å³/cell
- Space group: No. 35
- E_form (uncorrected): 0.53 eV per atom
- Fermi-level density of states: 10.45 states/eV/cell
- Mass density: 10.465 g cm⁻³

=====

No. 7
Computed, not measured: an optimized crystal structure of RuRh4Se at the PBE level of DFT.

Geometry as POSCAR:
```
RuRh4Se
1.0
0.000 3.633 3.633
3.633 0.000 3.633
3.633 3.633 0.000
Ru Rh Se
1 4 1
direct
0.000 0.000 0.000
0.375 0.375 0.375
0.375 0.375 0.876
0.375 0.876 0.375
0.876 0.375 0.375
0.750 0.750 0.750
```

Summary:
- Final energy: -0.4692 Ry/atom
- V: 95.9 Å³/cell
- Space group: No. 216
- E_form (uncorrected): 0.64 eV per atom
- Fermi-level density of states: 9.91 states/eV/cell
- Mass density: 10.244 g cm⁻³

=====

No. 8
Computed, not measured: an optimized crystal structure of Ru3RhSe at the PBE level of DFT.

Geometry as POSCAR:
```
Ru3RhSe
1.0
4.466 0.000 0.000
0.000 4.466 0.000
0.000 0.000 4.466
Ru Rh Se
3 1 1
direct
0.000 0.000 0.500
0.000 0.500 0.000
0.500 0.000 0.000
0.500 0.500 0.500
0.000 0.000 0.000
```

Summary:
- Final energy: -0.4778 Ry/atom
- Offset from the most stable computed form: 0.0 meV/atom
- V: 89.1 Å³/cell
- Space group: No. 221
- E_form (uncorrected): 1.23 eV per atom
- Fermi-level density of states: 6.82 states/eV/cell
- Mass density: 9.044 g cm⁻³

=====

No. 9
Computed, not measured: an optimized crystal structure of RuRhSe2 at the PBE level of DFT.

Geometry as POSCAR:
```
RuRhSe2
1.0
3.827 0.000 0.000
0.000 3.834 0.000
0.000 0.000 12.270
Ru Rh Se
2 2 4
direct
0.000 0.000 0.000
0.500 0.500 0.500
0.000 0.000 0.500
0.500 0.500 0.000
0.000 0.500 0.133
0.000 0.500 0.867
0.500 0.000 0.367
0.500 0.000 0.633
```

Summary:
- Final energy: -0.4361 Ry/atom
- Offset from the most stable computed form: 86.2 meV/atom
- V: 180.1 Å³/cell
- Space group: No. 71
- E_form (uncorrected): -0.04 eV per atom
- Fermi-level density of states: 7.79 states/eV/cell
- Mass density: 6.675 g cm⁻³

=====

No. 10
Computed, not measured: an optimized crystal structure of RuRh2Se at the PBE level of DFT.

Geometry as POSCAR:
```
RuRh2Se
1.0
2.788 0.000 0.000
0.000 4.805 0.000
0.000 0.000 9.135
Ru Rh Se
2 4 2
direct
0.000 0.000 0.000
0.500 0.500 0.000
0.000 0.500 0.248
0.000 0.500 0.752
0.500 0.000 0.248
0.500 0.000 0.752
0.000 0.000 0.500
0.500 0.500 0.500
```

Summary:
- Final energy: -0.4740 Ry/atom
- V: 122.3 Å³/cell
- Space group: No. 65
- E_form (uncorrected): 0.42 eV per atom
- Fermi-level density of states: 9.88 states/eV/cell
- Mass density: 10.473 g cm⁻³

=====

No. 11
Computed, not measured: an optimized crystal structure of Ru2RhSe at the PBE level of DFT.

Geometry as POSCAR:
```
Ru2RhSe
1.0
5.664 0.000 0.000
0.000 7.202 0.000
0.000 0.000 2.872
Ru Rh Se
4 2 2
direct
0.250 0.250 0.000
0.250 0.750 0.000
0.750 0.250 0.000
0.750 0.750 0.000
0.000 0.000 0.500
0.500 0.500 0.500
0.000 0.500 0.500
0.500 0.000 0.500
```

Summary:
- Final energy: -0.5155 Ry/atom
- V: 117.1 Å³/cell
- Space group: No. 65
- E_form (uncorrected): 0.33 eV per atom
- Fermi-level density of states: 10.57 states/eV/cell
- Mass density: 10.886 g cm⁻³

=====

No. 12
Computed, not measured: an optimized crystal structure of RuRh2Se at the PBE level of DFT.

Geometry as POSCAR:
```
RuRh2Se
1.0
2.872 0.000 0.000
0.000 3.653 0.000
0.000 0.000 5.677
Ru Rh Se
1 2 1
direct
0.000 0.000 0.000
0.000 0.000 0.518
0.500 0.500 0.774
0.500 0.500 0.268
```

Summary:
- Final energy: -0.4876 Ry/atom
- V: 59.6 Å³/cell
- Space group: No. 25
- E_form (uncorrected): 0.23 eV per atom
- Fermi-level density of states: 4.74 states/eV/cell
- Mass density: 10.758 g cm⁻³

=====

No. 13
Computed, not measured: an optimized crystal structure of RuRhSe4 at the PBE level of DFT.

Geometry as POSCAR:
```
RuRhSe4
1.0
4.084 -7.089 0.000
4.084 7.089 0.000
-4.080 0.000 4.108
Ru Rh Se
2 2 8
direct
0.069 0.931 0.750
0.931 0.069 0.250
0.320 0.680 0.250
0.680 0.320 0.750
0.016 0.618 0.785
0.233 0.332 0.845
0.332 0.233 0.345
0.382 0.984 0.715
0.618 0.016 0.285
0.668 0.767 0.655
0.767 0.668 0.155
0.984 0.382 0.215
```

Summary:
- Final energy: -0.3875 Ry/atom
- Offset from the most stable computed form: 229.8 meV/atom
- V: 237.9 Å³/cell
- Space group: No. 15
- E_form (uncorrected): -0.18 eV per atom
- Fermi-level density of states: 10.80 states/eV/cell
- Mass density: 7.258 g cm⁻³

=====

No. 14
Computed, not measured: an optimized crystal structure of Th6Ru3Rh2Se at the PBE level of DFT.

Geometry as POSCAR:
```
Th6Ru3Rh2Se
1.0
9.018 -2.043 0.000
9.018 2.043 0.000
-2.019 0.000 8.118
Th Ru Rh Se
6 3 2 1
direct
0.002 0.002 0.230
0.326 0.326 0.418
0.333 0.333 0.914
0.667 0.667 0.086
0.674 0.674 0.582
0.998 0.998 0.770
0.161 0.161 0.332
0.500 0.500 0.000
0.839 0.839 0.668
0.168 0.168 0.832
0.832 0.832 0.168
0.500 0.500 0.500
```

Summary:
- Final energy: -0.6106 Ry/atom
- V: 299.1 Å³/cell
- Space group: No. 12
- E_form (uncorrected): -0.76 eV per atom
- Fermi-level density of states: 6.32 states/eV/cell
- Mass density: 10.994 g cm⁻³

=====

No. 15
Computed, not measured: an optimized crystal structure of TiRuRh2Se at the PBE level of DFT.

Geometry as POSCAR:
```
TiRuRh2Se
1.0
4.572 0.000 0.000
0.000 4.572 0.000
0.000 0.000 4.567
Ti Ru Rh Se
1 1 2 1
direct
0.000 0.000 0.000
0.000 0.000 0.500
0.000 0.500 0.000
0.500 0.000 0.000
0.500 0.500 0.500
```

Summary:
- Final energy: -0.4531 Ry/atom
- V: 95.5 Å³/cell
- Space group: No. 123
- E_form (uncorrected): 0.91 eV per atom
- Fermi-level density of states: 6.05 states/eV/cell
- Mass density: 7.543 g cm⁻³

=====

No. 16
Computed, not measured: an optimized crystal structure of Tl3RuRh3Se8 at the PBE level of DFT.

Geometry as POSCAR:
```
Tl3RuRh3Se8
1.0
6.589 -3.804 0.000
6.589 3.804 0.000
-4.400 0.000 7.173
Tl Ru Rh Se
3 1 3 8
direct
0.000 0.000 0.000
0.000 0.500 0.000
0.500 0.000 0.000
0.000 0.000 0.500
0.000 0.500 0.500
0.500 0.000 0.500
0.500 0.500 0.500
0.224 0.224 0.677
0.224 0.729 0.677
0.271 0.776 0.323
0.277 0.277 0.330
0.723 0.723 0.670
0.729 0.224 0.677
0.776 0.271 0.323
0.776 0.776 0.323
```

Summary:
- Final energy: -0.3502 Ry/atom
- V: 359.6 Å³/cell
- Space group: No. 12
- E_form (uncorrected): -0.34 eV per atom
- Fermi-level density of states: 7.53 states/eV/cell
- Mass density: 7.641 g cm⁻³

=====

No. 17
Computed, not measured: an optimized crystal structure of RuRhWSe2 at the PBE level of DFT.

Geometry as POSCAR:
```
RuRhWSe2
1.0
4.801 0.000 0.000
0.000 4.801 0.000
0.000 0.000 4.875
Ru Rh W Se
1 1 1 2
direct
0.000 0.000 0.000
0.500 0.500 0.000
0.500 0.500 0.500
0.000 0.500 0.500
0.500 0.000 0.500
```

Summary:
- Final energy: -0.4454 Ry/atom
- V: 112.3 Å³/cell
- Space group: No. 123
- E_form (uncorrected): 1.25 eV per atom
- Fermi-level density of states: 6.78 states/eV/cell
- Mass density: 8.066 g cm⁻³

=====

No. 18
Computed, not measured: an optimized crystal structure of Si2RuRh at the PBE level of DFT.

Geometry as POSCAR:
```
Si2RuRh
1.0
3.666 0.000 0.000
-1.833 3.175 0.000
0.000 0.000 15.071
Si Ru Rh
6 3 3
direct
0.000 0.000 0.000
0.000 0.000 0.165
0.333 0.667 0.667
0.333 0.667 0.832
0.667 0.333 0.333
0.667 0.333 0.498
0.000 0.000 0.409
0.333 0.667 0.075
0.667 0.333 0.742
0.000 0.000 0.593
0.333 0.667 0.260
0.667 0.333 0.927
```

Summary:
- Final energy: -0.5439 Ry/atom
- V: 175.4 Å³/cell
- Space group: No. 160
- E_form (uncorrected): -0.53 eV per atom
- Fermi-level density of states: 3.73 states/eV/cell
- Mass density: 7.390 g cm⁻³

=====

No. 19
Computed, not measured: an optimized crystal structure of Si2RuRh at the PBE level of DFT.

Geometry as POSCAR:
```
Si2RuRh
1.0
6.069 0.000 0.000
0.000 6.069 0.000
0.000 0.000 6.069
Si Ru Rh
8 4 4
direct
0.000 0.000 0.000
0.000 0.500 0.500
0.250 0.250 0.250
0.250 0.750 0.750
0.500 0.000 0.500
0.500 0.500 0.000
0.750 0.250 0.750
0.750 0.750 0.250
0.250 0.250 0.750
0.250 0.750 0.250
0.750 0.250 0.250
0.750 0.750 0.750
0.000 0.000 0.500
0.000 0.500 0.000
0.500 0.000 0.000
0.500 0.500 0.500
```

Summary:
- Final energy: -0.5002 Ry/atom
- V: 223.5 Å³/cell
- Space group: No. 216
- E_form (uncorrected): 0.06 eV per atom
- Fermi-level density of states: 18.43 states/eV/cell
- Mass density: 7.730 g cm⁻³

=====

No. 20
Computed, not measured: an optimized crystal structure of Si2RuRh at the PBE level of DFT.

Geometry as POSCAR:
```
Si2RuRh
1.0
8.796 0.000 0.000
0.000 2.900 0.000
-1.027 0.000 4.110
Si Ru Rh
4 2 2
direct
0.000 0.000 0.000
0.250 0.000 0.626
0.500 0.500 0.000
0.750 0.500 0.626
0.014 0.500 0.518
0.514 0.000 0.518
0.242 0.500 0.117
0.742 0.000 0.117
```

Summary:
- Final energy: -0.5539 Ry/atom
- V: 104.8 Å³/cell
- Space group: No. 8
- E_form (uncorrected): -0.67 eV per atom
- Fermi-level density of states: 2.68 states/eV/cell
- Mass density: 8.241 g cm⁻³